A plane-wave DFT calculation with GGA-PBE was carried out for a geometry-optimized CaSiRh2 structure.

POSCAR file:
```
CaSiRh2
1.0
2.060 1.189 5.062
-2.060 1.189 5.062
0.000 -2.379 5.062
Ca Si Rh
1 1 2
Cartesian
0.000 0.000 0.000 Ca
0.000 0.000 7.593 Si
0.000 0.000 3.156 Rh
0.000 0.000 12.029 Rh
```

Calculated values
The calculation puts the mass density at 6.1 g cm⁻³. The space-group type is No. 166. Its uncorrected energy is -6.18 eV/atom. For the density of states at the Fermi level, the calculation gives 0.20 states/eV/atom. The uncorrected formation energy comes out at -645 meV per atom. The crystal system is trigonal.

A plane-wave DFT calculation with GGA-PBE was carried out for a geometry-optimized CaSiRh2 structure.

POSCAR file:
```
CaSiRh2
1.0
2.946 0.000 0.000
0.000 3.843 0.000
0.000 0.000 6.009
Ca Si Rh
1 1 2
Cartesian
0.000 0.000 0.000 Ca
1.473 1.921 3.919 Si
0.000 0.000 3.190 Rh
1.473 1.921 1.590 Rh
```

Calculated values
The calculation puts the mass density at 6.7 g cm⁻³. The space-group type is No. 25. Its uncorrected energy is -5.89 eV/atom. For the density of states at the Fermi level, the calculation gives 0.76 states/eV/atom. The uncorrected formation energy comes out at -362 meV per atom. The crystal system is orthorhombic.

A plane-wave DFT calculation with GGA-PBE was carried out for a geometry-optimized Ca2SiRh structure.

POSCAR file:
```
Ca2SiRh
1.0
3.136 -4.072 0.000
3.136 4.072 0.000
-0.014 0.000 3.276
Ca Si Rh
2 1 1
Cartesian
1.568 2.036 0.000 Ca
1.568 -2.036 0.000 Ca
-0.007 0.000 1.638 Si
3.129 0.000 1.638 Rh
```

Calculated values
The calculation puts the mass density at 4.2 g cm⁻³. The space-group type is No. 12. Its uncorrected energy is -4.44 eV/atom. For the density of states at the Fermi level, the calculation gives 0.54 states/eV/atom. The uncorrected formation energy comes out at -249 meV per atom. The crystal system is monoclinic.

A plane-wave DFT calculation with GGA-PBE was carried out for a geometry-optimized CaSi2Rh4 structure.

POSCAR file:
```
CaSi2Rh4
1.0
7.657 0.000 0.000
0.000 7.657 0.000
0.000 0.000 3.774
Ca Si Rh
2 4 8
Cartesian
0.000 0.000 0.000 Ca
3.829 3.829 1.887 Ca
1.754 1.754 1.887 Si
2.075 5.583 0.000 Si
5.583 2.075 0.000 Si
5.903 5.903 1.887 Si
0.565 5.114 1.887 Rh
1.285 3.264 0.000 Rh
2.544 7.092 1.887 Rh
3.264 1.285 0.000 Rh
4.394 6.373 0.000 Rh
5.114 0.565 1.887 Rh
6.373 4.394 0.000 Rh
7.092 2.544 1.887 Rh
```

Calculated values
The calculation puts the mass density at 7.6 g cm⁻³. The space-group type is No. 136. Its uncorrected energy is -6.77 eV/atom. For the density of states at the Fermi level, the calculation gives 0.97 states/eV/atom. The uncorrected formation energy comes out at -737 meV per atom. The crystal system is tetragonal.

A plane-wave DFT calculation with GGA-PBE was carried out for a geometry-optimized CaSiRh structure.

POSCAR file:
```
CaSiRh
1.0
0.000 3.220 3.220
3.220 0.000 3.220
3.220 3.220 0.000
Ca Si Rh
1 1 1
Cartesian
0.000 0.000 0.000 Ca
4.831 4.831 4.831 Si
1.610 1.610 1.610 Rh
```

Calculated values
The calculation puts the mass density at 4.3 g cm⁻³. The space-group type is No. 216. Its uncorrected energy is -4.35 eV/atom. For the density of states at the Fermi level, the calculation gives 0.73 states/eV/atom. The uncorrected formation energy comes out at 573 meV per atom. The crystal system is cubic.

A plane-wave DFT calculation with GGA-PBE was carried out for a geometry-optimized Ca3Si2Rh2 structure.

POSCAR file:
```
Ca3Si2Rh2
1.0
5.784 0.000 0.000
0.000 7.653 0.000
0.000 0.000 13.406
Ca Si Rh
12 8 8
Cartesian
0.771 0.841 1.355 Ca
0.771 0.841 5.349 Ca
0.771 2.986 8.058 Ca
0.771 2.986 12.052 Ca
2.107 5.576 10.055 Ca
2.107 5.903 3.352 Ca
3.677 1.749 10.055 Ca
3.677 2.077 3.352 Ca
5.013 4.667 1.355 Ca
5.013 4.667 5.349 Ca
5.013 6.812 8.058 Ca
5.013 6.812 12.052 Ca
0.938 0.612 10.055 Si
0.938 3.214 3.352 Si
2.381 5.739 0.000 Si
2.381 5.739 6.703 Si
3.403 1.913 0.000 Si
3.403 1.913 6.703 Si
4.846 4.438 10.055 Si
4.846 7.041 3.352 Si
2.109 0.189 7.914 Rh
2.109 0.189 12.195 Rh
2.109 3.638 1.211 Rh
2.109 3.638 5.492 Rh
3.675 4.015 7.914 Rh
3.675 4.015 12.195 Rh
3.675 7.464 1.211 Rh
3.675 7.464 5.492 Rh
```

Calculated values
The calculation puts the mass density at 4.3 g cm⁻³. The space-group type is No. 57. Its uncorrected energy is -5.26 eV/atom. For the density of states at the Fermi level, the calculation gives 0.48 states/eV/atom. The uncorrected formation energy comes out at -752 meV per atom. The crystal system is orthorhombic.

A plane-wave DFT calculation with GGA-PBE was carried out for a geometry-optimized CaSi3Rh structure.

POSCAR file:
```
CaSi3Rh
1.0
4.709 0.000 0.000
0.000 4.709 0.000
0.000 0.000 4.709
Ca Si Rh
1 3 1
Cartesian
0.000 0.000 0.000 Ca
0.000 2.354 2.354 Si
2.354 0.000 2.354 Si
2.354 2.354 0.000 Si
2.354 2.354 2.354 Rh
```

Calculated values
The calculation puts the mass density at 3.6 g cm⁻³. The space-group type is No. 221. Its uncorrected energy is -5.05 eV/atom. For the density of states at the Fermi level, the calculation gives 0.73 states/eV/atom. The uncorrected formation energy comes out at 76 meV per atom. The crystal system is cubic.

A plane-wave DFT calculation with GGA-PBE was carried out for a geometry-optimized CaSi12Rh4 structure.

POSCAR file:
```
CaSi12Rh4
1.0
-4.165 4.165 4.165
4.165 -4.165 4.165
4.165 4.165 -4.165
Ca Si Rh
1 12 4
Cartesian
0.000 0.000 0.000 Ca
2.966 1.260 0.000 Si
5.364 1.260 0.000 Si
4.165 -1.199 2.905 Si
2.905 4.165 -1.199 Si
1.260 0.000 2.966 Si
4.165 1.199 2.905 Si
0.000 2.966 1.260 Si
2.905 4.165 1.199 Si
1.260 0.000 5.364 Si
0.000 5.364 1.260 Si
-1.199 2.905 4.165 Si
1.199 2.905 4.165 Si
2.083 2.083 -2.083 Rh
2.083 -2.083 2.083 Rh
-2.083 2.083 2.083 Rh
2.083 2.083 2.083 Rh
```

Calculated values
The calculation puts the mass density at 4.5 g cm⁻³. The space-group type is No. 204. Its uncorrected energy is -5.91 eV/atom. For the density of states at the Fermi level, the calculation gives 0.68 states/eV/atom. The uncorrected formation energy comes out at -230 meV per atom. The crystal system is cubic.